Record 1
## Sc3HCS (PBE)

Data for a geometry-optimized Sc3HCS structure.

Values from the calculation:
The space group is P2_1/m (11). The electronic total energy is -83.8 eV per cell.

abc: 7.1448 3.3938 7.3638
angles: 90.00 102.94 90.00
Closest atoms and distances in Å follow each position.
Element x y z (fractional)
Sc  0.0527  0.2500  0.3408  3 C 2.31-2.32
Sc  0.2733  0.2500  0.9742  3 H 2.08-2.14, 1 C 2.25
Sc  0.3731  0.7500  0.6409  1 H 2.02
Sc  0.6269  0.2500  0.3591  1 H 2.02
Sc  0.7267  0.7500  0.0258  3 H 2.08-2.14, 1 C 2.25
Sc  0.9473  0.7500  0.6592  3 C 2.31-2.32
H  0.4222  0.7500  0.9215  4 Sc 2.02-2.14, 2 H 2.21
H  0.5778  0.2500  0.0785  4 Sc 2.02-2.14, 2 H 2.21
C  0.1675  0.2500  0.6619  6 Sc 2.25-2.32
C  0.8325  0.7500  0.3381  6 Sc 2.25-2.32
S  0.3250  0.7500  0.2779  7 Sc 2.62-2.77, 1 H 2.86
S  0.6750  0.2500  0.7221  7 Sc 2.62-2.77, 1 H 2.86

Record 2
## Na4Tb3TiS8 (PBE)

Data for a geometry-optimized Na4Tb3TiS8 structure.

Values from the calculation:
The calculation puts the formation energy (no corrections) at -1.68 eV per atom. The space group is R-3m (166).

abc: 8.0637 8.0637 8.0637
angles: 58.01 58.01 58.01
Closest atoms and distances in Å follow each position.
Element x y z (fractional)
Na  0.0000  0.0000  0.0000  6 S 3.03
Na  0.0000  0.5000  0.5000  6 S 2.88
Na  0.5000  0.0000  0.5000  6 S 2.88
Na  0.5000  0.5000  0.0000  6 S 2.88
Tb  0.0000  0.0000  0.5000  6 S 2.74-2.75
Tb  0.0000  0.5000  0.0000  6 S 2.74-2.75
Tb  0.5000  0.0000  0.0000  6 S 2.74-2.75
Ti  0.5000  0.5000  0.5000  6 S 2.59
S  0.2438  0.2438  0.2438  3 Tb 2.74, 3 Na 2.88
S  0.2596  0.7304  0.7304  1 Ti 2.59, 2 Tb 2.75, 2 Na 2.88
S  0.2696  0.2696  0.7404  1 Ti 2.59, 2 Tb 2.75, 2 Na 2.88
S  0.2696  0.7404  0.2696  1 Ti 2.59, 2 Tb 2.75, 2 Na 2.88
S  0.7304  0.2596  0.7304  1 Ti 2.59, 2 Tb 2.75, 2 Na 2.88
S  0.7304  0.7304  0.2596  1 Ti 2.59, 2 Tb 2.75, 2 Na 2.88
S  0.7404  0.2696  0.2696  1 Ti 2.59, 2 Tb 2.75, 2 Na 2.88
S  0.7562  0.7562  0.7562  3 Tb 2.74, 3 Na 2.88

Record 3
## HoErPu2 (PBE)

Data for a geometry-optimized HoErPu2 structure.

Values from the calculation:
The space group is P4/mmm (123). The value obtained for the energy above the most stable polymorph in this dataset is 0.000 eV per formula unit.

abc: 3.3869 3.3869 10.0559
angles: 90.00 90.00 90.00
Closest atoms and distances in Å follow each position.
Element x y z (fractional)
Ho  0.0000  0.0000  0.0000  4 Ho 3.39, 8 Pu 3.48
Er  0.0000  0.0000  0.5000  4 Er 3.39, 8 Pu 3.47
Pu  0.5000  0.5000  0.2507  4 Pu 3.39, 4 Er 3.47, 4 Ho 3.48
Pu  0.5000  0.5000  0.7493  4 Pu 3.39, 4 Er 3.47, 4 Ho 3.48

Record 4
## LaDy2P (PBE)

Data for a geometry-optimized LaDy2P structure.

Values from the calculation:
The space group is R-3m (166). The electronic total energy is -21.8 eV per cell.

abc: 10.6073 10.6073 10.6073
angles: 20.35 20.35 20.35
Closest atoms and distances in Å follow each position.
Element x y z (fractional)
La  0.0000  0.0000  0.0000  2 Dy 3.57, 6 La 3.75
Dy  0.1145  0.1145  0.1145  3 P 2.71
Dy  0.8855  0.8855  0.8855  3 P 2.71
P  0.5000  0.5000  0.5000  6 Dy 2.71

Record 5
## NdSn2Ru2 (PBE)

Data for a geometry-optimized NdSn2Ru2 structure.

Values from the calculation:
The space group is C2/c (15). The electronic total energy is -65.4 eV per cell.

abc: 6.2535 6.2535 7.7373
angles: 99.70 99.70 125.61
Closest atoms and distances in Å follow each position.
Element x y z (fractional)
Nd  0.1247  0.8753  0.7500  4 Ru 3.24-3.25, 6 Sn 3.43-3.56
Nd  0.8753  0.1247  0.2500  4 Ru 3.24-3.25, 6 Sn 3.43-3.56
Sn  0.1838  0.8162  0.2500  4 Ru 2.60-2.62
Sn  0.4333  0.5667  0.7500  4 Ru 2.60-2.62
Sn  0.5667  0.4333  0.2500  4 Ru 2.60-2.62
Sn  0.8162  0.1838  0.7500  4 Ru 2.60-2.62
Ru  0.2684  0.5179  0.0375  4 Sn 2.60-2.62
Ru  0.4821  0.7316  0.4625  4 Sn 2.60-2.62
Ru  0.5179  0.2684  0.5375  4 Sn 2.60-2.62
Ru  0.7316  0.4821  0.9625  4 Sn 2.60-2.62

Record 6
## SmEr6Al2 (PBE)

Data for a geometry-optimized SmEr6Al2 structure.

Values from the calculation:
The space group is C2/m (12). The electronic total energy is -41.1 eV per cell.

abc: 6.4746 6.4746 11.6821
angles: 107.48 107.48 32.72
Closest atoms and distances in Å follow each position.
Element x y z (fractional)
Sm  0.0000  0.0000  0.0000  4 Al 3.17
Er  0.0192  0.0192  0.3345  2 Al 3.07, 1 Er 3.44
Er  0.3100  0.3100  0.4139  2 Al 3.15, 4 Er 3.37-3.44
Er  0.3110  0.3110  0.1258  2 Al 3.11, 5 Er 3.37-3.47
Er  0.6890  0.6890  0.8742  2 Al 3.11, 5 Er 3.37-3.47
Er  0.6900  0.6900  0.5861  2 Al 3.15, 4 Er 3.37-3.44
Er  0.9808  0.9808  0.6655  2 Al 3.07, 1 Er 3.44
Al  0.3508  0.3508  0.7879  6 Er 3.07-3.15, 2 Sm 3.17
Al  0.6492  0.6492  0.2121  6 Er 3.07-3.15, 2 Sm 3.17

Record 7
## Sc3TiNi8 (PBE)

Data for a geometry-optimized Sc3TiNi8 structure.

Values from the calculation:
The space group is R3m (160). The electronic total energy is -78.8 eV per cell.

abc: 8.4198 8.4198 8.4198
angles: 33.47 33.47 33.47
Closest atoms and distances in Å follow each position.
Element x y z (fractional)
Sc  0.0000  0.0000  0.0000  12 Ni 2.84-2.88, 4 Sc 2.99-3.01
Sc  0.1264  0.1264  0.1264  12 Ni 2.79-2.85, 3 Ti 2.96, 1 Sc 3.01
Sc  0.6227  0.6227  0.6227  12 Ni 2.84-2.92, 1 Ti 2.93, 3 Sc 2.99
Ti  0.4996  0.4996  0.4996  12 Ni 2.82-2.84, 4 Sc 2.93-2.96
Ni  0.0615  0.0615  0.5598  6 Ni 2.41-2.45
Ni  0.0615  0.5598  0.0615  6 Ni 2.41-2.45
Ni  0.0651  0.5628  0.5628  6 Ni 2.41-2.45
Ni  0.3124  0.3124  0.3124  6 Ni 2.45
Ni  0.5598  0.0615  0.0615  6 Ni 2.41-2.45
Ni  0.5628  0.0651  0.5628  6 Ni 2.41-2.45
Ni  0.5628  0.5628  0.0651  6 Ni 2.41-2.45
Ni  0.8122  0.8122  0.8122  6 Ni 2.41

Record 8
## TbNd3Hg (PBE)

Data for a geometry-optimized TbNd3Hg structure.

Values from the calculation:
The space group is C2/m (12). The value obtained for the energy above the most stable polymorph in this dataset is 0.000 eV per formula unit.

abc: 10.0545 10.0545 8.7642
angles: 103.13 103.13 21.60
Closest atoms and distances in Å follow each position.
Element x y z (fractional)
Tb  0.2043  0.2043  0.3301  2 Hg 3.16
Tb  0.7957  0.7957  0.6699  2 Hg 3.16
Nd  0.0040  0.0040  0.7886  4 Hg 3.26-3.46, 3 Nd 3.50-3.60
Nd  0.1862  0.1862  0.8785  2 Hg 3.26, 5 Nd 3.46-3.64
Nd  0.4034  0.4034  0.4642  9 Nd 3.60-3.77, 3 Tb 3.62-3.84, 1 Hg 4.00
Nd  0.5966  0.5966  0.5358  9 Nd 3.60-3.77, 3 Tb 3.62-3.84, 1 Hg 4.00
Nd  0.8138  0.8138  0.1215  2 Hg 3.26, 5 Nd 3.46-3.64
Nd  0.9960  0.9960  0.2114  4 Hg 3.26-3.46, 3 Nd 3.50-3.60
Hg  0.3936  0.3936  0.9145  2 Tb 3.16, 6 Nd 3.26-3.46
Hg  0.6064  0.6064  0.0855  2 Tb 3.16, 6 Nd 3.26-3.46

Record 9
## Sr2UZnO6 (PBE)

Data for a geometry-optimized Sr2UZnO6 structure.

Values from the calculation:
The calculation puts the formation energy (no corrections) at -2.78 eV per atom. The space group is P2_1/c (14).

abc: 5.8504 5.9046 10.1071
angles: 90.00 125.06 90.00
Closest atoms and distances in Å follow each position.
Element x y z (fractional)
Sr  0.2392  0.0379  0.2481  6 O 2.54-2.81
Sr  0.2392  0.4621  0.7481  6 O 2.54-2.81
Sr  0.7608  0.5379  0.2519  6 O 2.54-2.81
Sr  0.7608  0.9621  0.7519  6 O 2.54-2.81
U  0.5000  0.0000  0.0000  6 O 2.09-2.10
U  0.5000  0.5000  0.5000  6 O 2.09-2.10
Zn  0.0000  0.0000  0.5000  6 O 2.16-2.17
Zn  0.0000  0.5000  0.0000  6 O 2.16-2.17
O  0.1758  0.2073  0.9603  1 U 2.09, 1 Zn 2.16
O  0.1758  0.2927  0.4603  1 U 2.09, 1 Zn 2.16
O  0.2497  0.7169  0.9565  1 U 2.10, 1 Zn 2.17
O  0.2497  0.7831  0.4565  1 U 2.10, 1 Zn 2.17
O  0.3333  0.0222  0.7539  1 U 2.09, 1 Zn 2.16
O  0.3333  0.4778  0.2539  1 U 2.09, 1 Zn 2.16
O  0.6667  0.5222  0.7461  1 U 2.09, 1 Zn 2.16
O  0.6667  0.9778  0.2461  1 U 2.09, 1 Zn 2.16
O  0.7503  0.2169  0.5435  1 U 2.10, 1 Zn 2.17
O  0.7503  0.2831  0.0435  1 U 2.10, 1 Zn 2.17
O  0.8242  0.7073  0.5397  1 U 2.09, 1 Zn 2.16
O  0.8242  0.7927  0.0397  1 U 2.09, 1 Zn 2.16

Record 10
## AcEuLuAl (PBE)

Data for a geometry-optimized AcEuLuAl structure.

Values from the calculation:
The space group is F-43m (216). The electronic total energy is -22.1 eV per cell.

abc: 5.5877 5.5877 5.5877
angles: 60.00 60.00 60.00
Closest atoms and distances in Å follow each position.
Element x y z (fractional)
Ac  0.0000  0.0000  0.0000  4 Eu 3.42, 4 Lu 3.42
Eu  0.7500  0.7500  0.7500  4 Ac 3.42, 4 Al 3.42
Lu  0.2500  0.2500  0.2500  4 Ac 3.42, 4 Al 3.42
Al  0.5000  0.5000  0.5000  4 Eu 3.42, 4 Lu 3.42

Record 11
## PrGaPt (PBE)

Data for a geometry-optimized PrGaPt structure.

Values from the calculation:
The space group is Pnma (62). The electronic total energy is -67.6 eV per cell.

abc: 7.2154 4.5260 7.8591
angles: 90.00 90.00 90.00
Closest atoms and distances in Å follow each position.
Element x y z (fractional)
Pr  0.0176  0.2500  0.1977  5 Pt 3.00-3.23, 6 Ga 3.17-3.34
Pr  0.4824  0.7500  0.6977  5 Pt 3.00-3.23, 6 Ga 3.17-3.34
Pr  0.5176  0.2500  0.3023  5 Pt 3.00-3.23, 6 Ga 3.17-3.34
Pr  0.9824  0.7500  0.8023  5 Pt 3.00-3.23, 6 Ga 3.17-3.34
Ga  0.1683  0.2500  0.5759  4 Pt 2.66-2.79
Ga  0.3317  0.7500  0.0759  4 Pt 2.66-2.79
Ga  0.6683  0.2500  0.9241  4 Pt 2.66-2.79
Ga  0.8317  0.7500  0.4241  4 Pt 2.66-2.79
Pt  0.2171  0.7500  0.4031  4 Ga 2.66-2.79
Pt  0.2829  0.2500  0.9031  4 Ga 2.66-2.79
Pt  0.7171  0.7500  0.0969  4 Ga 2.66-2.79
Pt  0.7829  0.2500  0.5969  4 Ga 2.66-2.79

Record 12
## Cr2RhW (PBE)

Data for a geometry-optimized Cr2RhW structure.

Values from the calculation:
The space group is P4/mmm (123). The value obtained for the energy above the most stable polymorph in this dataset is 0.237 eV per formula unit.

abc: 4.2263 4.2263 3.0826
angles: 90.00 90.00 90.00
Closest atoms and distances in Å follow each position.
Element x y z (fractional)
Cr  0.0000  0.5000  0.0000  4 W 2.62, 4 Rh 2.62
Cr  0.5000  0.0000  0.0000  4 W 2.62, 4 Rh 2.62
Rh  0.0000  0.0000  0.5000  8 Cr 2.62
W  0.5000  0.5000  0.5000  8 Cr 2.62

no.,M_tot (μB/f.u.)
1,0.00
2,1.00
3,12.76
4,0.34
5,0.00
6,0.00
7,0.00
8,0.00
9,0.00
10,7.84
11,0.00
12,3.11